Model A:
This record from Alexandria via LeMat-Bulk describes a geometry-optimized Zr3Ag4 structure. The functional is PBE-GGA.

N(E_F) in states/eV/cell: 7.147
Crystal system: hexagonal

a b c (Å): 5.6412 5.6412 5.2988
angles (deg): 90.00 90.00 120.00
Fractional positions:
Zr1 0.0000 0.5000 0.0000
Zr2 0.5000 0.5000 0.0000
Zr3 0.5000 0.0000 0.0000
Ag1 0.0000 0.0000 0.2544
Ag2 0.0000 0.0000 0.7456
Ag3 0.6667 0.3333 0.5000
Ag4 0.3333 0.6667 0.5000



Model B:
This record from Alexandria via LeMat-Bulk describes a geometry-optimized Zr3Ag4 structure. The functional is PBE-GGA.

N(E_F) in states/eV/cell: 3.360
Crystal system: tetragonal

a b c (Å): 11.4899 11.4899 11.4899
angles (deg): 162.34 162.34 25.07
Site moments in Bohr magnetons follow the coordinates.
Fractional positions:
Zr1 0.0000 0.0000 0.0000  0.25
Zr2 0.2919 0.2919 0.0000  -0.01
Zr3 0.7081 0.7081 0.0000  -0.01
Ag1 0.1365 0.1365 0.0000  0.00
Ag2 0.4294 0.4294 0.0000  0.02
Ag3 0.5706 0.5706 0.0000  0.02
Ag4 0.8635 0.8635 0.0000  0.00



Most stable: model B



Model A:
This record from Alexandria via LeMat-Bulk describes a geometry-optimized Al structure. The functional is PBE-GGA.

N(E_F) in states/eV/cell: 1.102
Crystal system: tetragonal

a b c (Å): 3.9702 3.9702 3.9702
angles (deg): 97.02 97.02 139.07
Fractional positions:
Al1 0.1250 0.8750 0.7500
Al2 0.8750 0.1250 0.2500



Model B:
This record from Alexandria via LeMat-Bulk describes a geometry-optimized Al structure. The functional is PBE-GGA.

N(E_F) in states/eV/cell: 14.091
Crystal system: orthorhombic

a b c (Å): 5.6543 9.5942 11.0590
angles (deg): 90.00 90.00 90.00
Fractional positions:
Al1 0.7500 0.0000 0.0000
Al2 0.2500 0.0000 0.0000
Al3 0.5000 0.7500 0.2500
Al4 0.0000 0.7500 0.2500
Al5 0.7500 0.5000 0.5000
Al6 0.2500 0.5000 0.5000
Al7 0.5000 0.2500 0.7500
Al8 0.0000 0.2500 0.7500
Al9 0.2500 0.0000 0.5000
Al10 0.7500 0.0000 0.5000
Al11 0.0000 0.7500 0.7500
Al12 0.5000 0.7500 0.7500
Al13 0.2500 0.5000 0.0000
Al14 0.7500 0.5000 0.0000
Al15 0.0000 0.2500 0.2500
Al16 0.5000 0.2500 0.2500
Al17 0.0000 0.7500 0.0000
Al18 0.0000 0.2500 0.0000
Al19 0.2500 0.0000 0.2500
Al20 0.2500 0.5000 0.2500
Al21 0.0000 0.2500 0.5000
Al22 0.0000 0.7500 0.5000
Al23 0.2500 0.5000 0.7500
Al24 0.2500 0.0000 0.7500
Al25 0.5000 0.7500 0.5000
Al26 0.5000 0.2500 0.5000
Al27 0.7500 0.0000 0.7500
Al28 0.7500 0.5000 0.7500
Al29 0.5000 0.2500 0.0000
Al30 0.5000 0.7500 0.0000
Al31 0.7500 0.5000 0.2500
Al32 0.7500 0.0000 0.2500



Model C:
This record from Alexandria via LeMat-Bulk describes a geometry-optimized Al structure. The functional is PBE-GGA.

N(E_F) in states/eV/cell: 1.428
Crystal system: cubic

a b c (Å): 4.2744 4.2744 4.2744
angles (deg): 60.00 60.00 60.00
Fractional positions:
Al1 0.0000 0.0000 0.0000
Al2 0.7500 0.7500 0.7500



Model D:
This record from Alexandria via LeMat-Bulk describes a geometry-optimized Al structure. The functional is PBE-GGA.

N(E_F) in states/eV/cell: 2.434
Crystal system: orthorhombic

a b c (Å): 2.7955 4.9323 7.5863
angles (deg): 90.00 90.00 90.00
Fractional positions:
Al1 0.0000 0.0000 0.8170
Al2 0.0000 0.0000 0.1830
Al3 0.5000 0.5000 0.3170
Al4 0.5000 0.5000 0.6830
Al5 0.5000 0.0000 0.5000
Al6 0.0000 0.5000 0.0000



Most stable: model D



Model A:
This record from Alexandria via LeMat-Bulk describes a geometry-optimized Al structure. The functional is PBE-GGA.

N(E_F) in states/eV/cell: 5.506
Crystal system: cubic

a b c (Å): 7.4118 7.4118 7.4118
angles (deg): 90.00 90.00 90.00
Fractional positions:
Al1 0.2500 0.0000 0.5000
Al2 0.7500 0.0000 0.5000
Al3 0.0000 0.5000 0.2500
Al4 0.0000 0.5000 0.7500
Al5 0.5000 0.2500 0.0000
Al6 0.5000 0.7500 0.0000
Al7 0.0000 0.7500 0.5000
Al8 0.0000 0.2500 0.5000
Al9 0.7500 0.5000 0.0000
Al10 0.2500 0.5000 0.0000
Al11 0.5000 0.0000 0.7500
Al12 0.5000 0.0000 0.2500



Model B:
This record from Alexandria via LeMat-Bulk describes a geometry-optimized Al structure. The functional is PBE-GGA.

N(E_F) in states/eV/cell: 3.499
Crystal system: hexagonal

a b c (Å): 2.7863 7.9171 7.9171
angles (deg): 120.00 90.00 90.00
Fractional positions:
Al1 0.5000 0.3333 0.6667
Al2 0.0000 0.0000 0.0000
Al3 0.5000 0.6667 0.3333
Al4 0.0000 0.3670 0.3670
Al5 0.0000 0.6330 0.0000
Al6 0.0000 0.0000 0.6330
Al7 0.5000 0.3019 0.0000
Al8 0.5000 0.0000 0.3019
Al9 0.5000 0.6981 0.6981



Model C:
This record from Alexandria via LeMat-Bulk describes a geometry-optimized Al structure. The functional is PBE-GGA.

N(E_F) in states/eV/cell: 1.047
Crystal system: tetragonal

a b c (Å): 6.7901 6.7901 6.7901
angles (deg): 146.24 146.24 48.50
Fractional positions:
Al1 0.7500 0.2500 0.5000
Al2 0.2500 0.7500 0.5000
Al3 0.6030 0.6030 0.0000
Al4 0.3970 0.3970 0.0000



Model D:
This record from Alexandria via LeMat-Bulk describes a geometry-optimized Al structure. The functional is PBE-GGA.

N(E_F) in states/eV/cell: 0.338
Crystal system: tetragonal

a b c (Å): 2.8132 2.8132 2.8836
angles (deg): 119.20 119.20 90.00
Fractional positions:
Al1 0.0000 0.0000 0.0000



Most stable: model D



Model A:
This record from Alexandria via LeMat-Bulk describes a geometry-optimized Al structure. The functional is PBE-GGA.

N(E_F) in states/eV/cell: 0.968
Crystal system: hexagonal

a b c (Å): 4.6248 4.6248 2.7658
angles (deg): 90.00 90.00 120.00
Fractional positions:
Al1 0.0000 0.0000 0.0000
Al2 0.6667 0.3333 0.5000
Al3 0.3333 0.6667 0.5000



Model B:
This record from Alexandria via LeMat-Bulk describes a geometry-optimized Al structure. The functional is PBE-GGA.

N(E_F) in states/eV/cell: 0.313
Crystal system: monoclinic

a b c (Å): 2.8239 2.8056 2.8275
angles (deg): 119.75 104.01 60.80
Fractional positions:
Al1 0.0000 0.0000 0.0000



Most stable: model B



Model A:
This record from Alexandria via LeMat-Bulk describes a geometry-optimized Al structure. The functional is PBE-GGA.

N(E_F) in states/eV/cell: 1.079
Crystal system: hexagonal

a b c (Å): 2.8501 2.8501 9.3840
angles (deg): 90.00 90.00 120.00
Fractional positions:
Al1 0.0000 0.0000 0.0000
Al2 0.3333 0.6667 0.2500
Al3 0.0000 0.0000 0.5000
Al4 0.6667 0.3333 0.7500



Model B:
This record from Alexandria via LeMat-Bulk describes a geometry-optimized Al structure. The functional is PBE-GGA.

N(E_F) in states/eV/cell: 5.147
Crystal system: cubic

a b c (Å): 5.1320 5.1320 5.1320
angles (deg): 90.00 90.00 90.00
Fractional positions:
Al1 0.0000 0.0000 0.0000
Al2 0.5000 0.5000 0.5000
Al3 0.7500 0.5000 0.0000
Al4 0.2500 0.5000 0.0000
Al5 0.0000 0.7500 0.5000
Al6 0.0000 0.2500 0.5000
Al7 0.5000 0.0000 0.2500
Al8 0.5000 0.0000 0.7500



Most stable: model A



Model A:
This record from Alexandria via LeMat-Bulk describes a geometry-optimized Al structure. The functional is PBE-GGA.

N(E_F) in states/eV/cell: 2.971
Crystal system: hexagonal

a b c (Å): 5.4474 5.4474 8.1880
angles (deg): 90.00 90.00 120.00
Fractional positions:
Al1 0.8267 0.1733 0.2500
Al2 0.8267 0.6533 0.2500
Al3 0.6533 0.8267 0.7500
Al4 0.1733 0.8267 0.7500
Al5 0.3467 0.1733 0.2500
Al6 0.0000 0.0000 0.0000
Al7 0.1733 0.3467 0.7500
Al8 0.0000 0.0000 0.5000
Al9 0.6667 0.3333 0.5697
Al10 0.3333 0.6667 0.4303
Al11 0.3333 0.6667 0.0697
Al12 0.6667 0.3333 0.9303



Model B:
This record from Alexandria via LeMat-Bulk describes a geometry-optimized Al structure. The functional is PBE-GGA.

N(E_F) in states/eV/cell: 0.589
Crystal system: cubic

a b c (Å): 2.7275 2.7275 2.7275
angles (deg): 90.00 90.00 90.00
Fractional positions:
Al1 0.5000 0.5000 0.5000



Model C:
This record from Alexandria via LeMat-Bulk describes a geometry-optimized Al structure. The functional is PBE-GGA.

N(E_F) in states/eV/cell: 4.272
Crystal system: hexagonal

a b c (Å): 11.2161 11.2161 2.8154
angles (deg): 90.00 90.00 120.00
Fractional positions:
Al1 0.6215 0.0282 0.2500
Al2 0.5933 0.6215 0.7500
Al3 0.9718 0.5933 0.2500
Al4 0.3785 0.9718 0.7500
Al5 0.4067 0.3785 0.2500
Al6 0.0282 0.4067 0.7500
Al7 0.7931 0.3010 0.2500
Al8 0.4921 0.7931 0.7500
Al9 0.6990 0.4921 0.2500
Al10 0.2069 0.6990 0.7500
Al11 0.5079 0.2069 0.2500
Al12 0.3010 0.5079 0.7500



Model D:
This record from Alexandria via LeMat-Bulk describes a geometry-optimized Al structure. The functional is PBE-GGA.

N(E_F) in states/eV/cell: 0.280
Crystal system: cubic

a b c (Å): 2.8065 2.8065 2.8065
angles (deg): 109.47 109.47 109.47
Fractional positions:
Al1 0.0000 0.0000 0.0000



Most stable: model D



Model A:
This record from Alexandria via LeMat-Bulk describes a geometry-optimized Al structure. The functional is PBE-GGA.

N(E_F) in states/eV/cell: 2.732
Crystal system: cubic

a b c (Å): 5.1623 5.1623 5.1623
angles (deg): 109.47 109.47 109.47
Fractional positions:
Al1 0.8750 0.7500 0.6250
Al2 0.3750 0.6250 0.7500
Al3 0.6250 0.2500 0.8750
Al4 0.2500 0.3750 0.1250
Al5 0.7500 0.1250 0.3750
Al6 0.1250 0.8750 0.2500



Model B:
This record from Alexandria via LeMat-Bulk describes a geometry-optimized Al structure. The functional is PBE-GGA.

N(E_F) in states/eV/cell: 4.087
Crystal system: hexagonal

a b c (Å): 4.5091 4.5091 8.2395
angles (deg): 90.00 90.00 120.00
Fractional positions:
Al1 0.0000 0.0000 0.7500
Al2 0.0000 0.0000 0.2500
Al3 0.6667 0.3333 0.4187
Al4 0.3333 0.6667 0.9187
Al5 0.3333 0.6667 0.5813
Al6 0.6667 0.3333 0.0813
Al7 0.6667 0.3333 0.7500
Al8 0.3333 0.6667 0.2500



Most stable: model A